Compound: CrCuTc
Source: Alexandria via LeMat-Bulk
Functional: GGA-PBE
Structure: optimized geometry

Cell lengths 6.3242, 6.3242, 6.3242 Å; angles 156.92, 156.92, 32.86 degrees
Positions (direct):
1 Cr 0.0000 0.0000 0.0000
2 Cu 0.6578 0.6578 0.0000
3 Tc 0.3290 0.3290 0.0000

Output
density: 9.133 g cm⁻³
magnetic moment: 0.00 μB/f.u.
energy of formation: 0.33 eV per atom
energy: -7.6964 eV per atom
crystal system: tetragonal



Compound: Tb2Y7Ho3
Source: Alexandria via LeMat-Bulk
Functional: GGA-PBE
Structure: optimized geometry

Cell lengths 5.7872, 3.5825, 18.6579 Å; angles 90.00, 93.61, 90.00 degrees
Positions (direct):
1 Tb 0.2068 0.0000 0.2950
2 Tb 0.7932 0.0000 0.7050
3 Y 0.1816 0.5000 0.1436
4 Y 0.2421 0.0000 0.4630
5 Y 0.3145 0.0000 0.8202
6 Y 0.5000 0.5000 0.0000
7 Y 0.6855 0.0000 0.1798
8 Y 0.7579 0.0000 0.5370
9 Y 0.8184 0.5000 0.8564
10 Ho 0.0000 0.0000 0.0000
11 Ho 0.2794 0.5000 0.6325
12 Ho 0.7206 0.5000 0.3675

Output
density: 6.172 g cm⁻³
magnetic moment: 0.00 μB/f.u.
energy of formation: 0.09 eV per atom
energy: -5.5966 eV per atom
crystal system: monoclinic



Compound: Pm2TmTe2O2
Source: Alexandria via LeMat-Bulk
Functional: GGA-PBE
Structure: optimized geometry

Cell lengths 8.9062, 8.9062, 8.9062 Å; angles 151.87, 151.87, 40.21 degrees
Positions (direct):
1 Pm 0.1075 0.1075 0.0000
2 Pm 0.8925 0.8925 0.0000
3 Tm 0.5000 0.5000 0.0000
4 Te 0.3188 0.3188 0.0000
5 Te 0.6812 0.6812 0.0000
6 O 0.0000 0.5000 0.5000
7 O 0.5000 0.0000 0.5000

Output
density: 7.904 g cm⁻³
formation energy (no corrections): -2.214 eV per atom
magnetic moment: 0.00 μB/f.u.
energy: -6.5239 eV per atom
crystal system: tetragonal



Compound: LiCaTa2Ir
Source: Alexandria via LeMat-Bulk
Functional: GGA-PBE
Structure: optimized geometry

Cell lengths 4.4298, 4.4298, 4.6247 Å; angles 90.00, 90.00, 90.00 degrees
Positions (direct):
1 Li 0.0000 0.0000 0.0000
2 Ca 0.0000 0.0000 0.5000
3 Ta 0.0000 0.5000 0.0000
4 Ta 0.5000 0.0000 0.0000
5 Ir 0.5000 0.5000 0.5000

Output
density: 10.999 g cm⁻³
magnetic moment: 0.00 μB/f.u.
energy of formation: 1.23 eV per atom
energy: -6.0701 eV per atom
crystal system: tetragonal



Compound: NbTlSeO5
Source: Alexandria via LeMat-Bulk
Functional: GGA-PBE
Structure: optimized geometry

Cell lengths 5.9464, 5.9464, 7.5834 Å; angles 100.52, 100.52, 104.09 degrees
Positions (direct):
1 Nb 0.0000 0.0000 0.0000
2 Nb 0.0000 0.0000 0.5000
3 Tl 0.3399 0.6601 0.7500
4 Tl 0.6601 0.3399 0.2500
5 Se 0.3231 0.6769 0.2500
6 Se 0.6769 0.3231 0.7500
7 O 0.0636 0.9364 0.7500
8 O 0.1092 0.6956 0.3784
9 O 0.1759 0.3384 0.0478
10 O 0.3044 0.8908 0.1216
11 O 0.3384 0.1759 0.5478
12 O 0.6616 0.8241 0.4522
13 O 0.6956 0.1092 0.8784
14 O 0.8241 0.6616 0.9522
15 O 0.8908 0.3044 0.6216
16 O 0.9364 0.0636 0.2500

Output
density: 6.101 g cm⁻³
formation energy (no corrections): -1.374 eV per atom
magnetic moment: 0.00 μB/f.u.
energy: -6.4628 eV per atom
crystal system: monoclinic



Compound: K3Pr2ZrS6
Source: Alexandria via LeMat-Bulk
Functional: GGA-PBE
Structure: optimized geometry

Cell lengths 7.0501, 7.0501, 7.7887 Å; angles 98.73, 98.73, 120.00 degrees
Positions (direct):
1 K 0.0000 0.0000 0.0000
2 K 0.3302 0.6698 0.0000
3 K 0.6698 0.3302 0.0000
4 Pr 0.1664 0.8336 0.5000
5 Pr 0.8336 0.1664 0.5000
6 Zr 0.5000 0.5000 0.5000
7 S 0.1215 0.4311 0.2939
8 S 0.2599 0.2599 0.7061
9 S 0.4311 0.1215 0.2939
10 S 0.5689 0.8785 0.7061
11 S 0.7401 0.7401 0.2939
12 S 0.8785 0.5689 0.7061

Output
density: 3.549 g cm⁻³
formation energy (no corrections): -1.692 eV per atom
magnetic moment: 0.00 μB/f.u.
energy: -5.5388 eV per atom
crystal system: monoclinic



Compound: SrTbC2O6
Source: Alexandria via LeMat-Bulk
Functional: GGA-PBE
Structure: optimized geometry

Cell lengths 6.3458, 6.3458, 6.8416 Å; angles 103.07, 103.07, 100.12 degrees
Positions (direct):
1 Sr 0.1432 0.8568 0.7500
2 Sr 0.8568 0.1432 0.2500
3 Tb 0.4098 0.5902 0.2500
4 Tb 0.5902 0.4098 0.7500
5 C 0.1242 0.3567 0.7410
6 C 0.3567 0.1242 0.2410
7 C 0.6433 0.8758 0.7590
8 C 0.8758 0.6433 0.2590
9 O 0.0728 0.6046 0.3232
10 O 0.1956 0.2102 0.6149
11 O 0.2102 0.1956 0.1149
12 O 0.2855 0.5191 0.8864
13 O 0.3954 0.9272 0.1768
14 O 0.4809 0.7145 0.6136
15 O 0.5191 0.2855 0.3864
16 O 0.6046 0.0728 0.8232
17 O 0.7145 0.4809 0.1136
18 O 0.7898 0.8044 0.8851
19 O 0.8044 0.7898 0.3851
20 O 0.9272 0.3954 0.6768

Output
density: 4.796 g cm⁻³
formation energy (no corrections): -2.117 eV per atom
magnetic moment: 0.99 μB/f.u.
energy: -7.5679 eV per atom
crystal system: monoclinic



Compound: AlSbTe2
Source: Alexandria via LeMat-Bulk
Functional: GGA-PBE
Structure: optimized geometry

Cell lengths 3.5152, 3.5152, 8.9520 Å; angles 90.00, 90.00, 90.00 degrees
Positions (direct):
1 Al 0.0000 0.0000 0.0000
2 Sb 0.5000 0.5000 0.1954
3 Te 0.0000 0.0000 0.4551
4 Te 0.5000 0.5000 0.8330

Output
density: 6.064 g cm⁻³
formation energy (no corrections): 0.120 eV per atom
magnetic moment: 0.00 μB/f.u.
energy: -3.4167 eV per atom
crystal system: tetragonal



Compound: GaTeH
Source: Alexandria via LeMat-Bulk
Functional: GGA-PBE
Structure: optimized geometry

Cell lengths 3.3263, 4.1363, 9.7429 Å; angles 96.22, 99.65, 90.12 degrees
Positions (direct):
1 Ga 0.0658 0.1329 0.1347
2 Ga 0.9342 0.8671 0.8653
3 Te 0.1566 0.6883 0.3173
4 Te 0.8434 0.3117 0.6827
5 H 0.4564 0.8195 0.9109
6 H 0.5436 0.1805 0.0891

Output
density: 5.015 g cm⁻³
magnetic moment: 0.00 μB/f.u.
energy: -3.1708 eV per atom
crystal system: triclinic



Compound: CrTe
Source: Alexandria via LeMat-Bulk
Functional: GGA-PBE
Structure: optimized geometry

Cell lengths 3.7733, 3.7733, 7.7893 Å; angles 90.00, 90.00, 120.00 degrees
Positions (direct):
1 Cr 0.3333 0.6667 0.0676
2 Cr 0.6667 0.3333 0.9324
3 Te 0.3333 0.6667 0.7351
4 Te 0.6667 0.3333 0.2649

Output
density: 6.210 g cm⁻³
formation energy (no corrections): 0.099 eV per atom
magnetic moment: 0.00 μB/f.u.
energy: -6.2838 eV per atom
crystal system: trigonal



Compound: ZnCuSi2O6
Source: Alexandria via LeMat-Bulk
Functional: GGA-PBE
Structure: optimized geometry

Cell lengths 6.9425, 6.9425, 5.3394 Å; angles 106.98, 106.98, 86.36 degrees
Positions (direct):
1 Zn 0.2327 0.7673 0.7500
2 Zn 0.7673 0.2327 0.2500
3 Cu 0.1121 0.8879 0.2500
4 Cu 0.8879 0.1121 0.7500
5 Si 0.2133 0.3838 0.2617
6 Si 0.3838 0.2133 0.7617
7 Si 0.6162 0.7867 0.2383
8 Si 0.7867 0.6162 0.7383
9 O 0.0269 0.2133 0.1315
10 O 0.1422 0.6131 0.3713
11 O 0.2133 0.0269 0.6315
12 O 0.3247 0.3699 0.0250
13 O 0.3699 0.3247 0.5250
14 O 0.3869 0.8578 0.1287
15 O 0.6131 0.1422 0.8713
16 O 0.6301 0.6753 0.4750
17 O 0.6753 0.6301 0.9750
18 O 0.7867 0.9731 0.3685
19 O 0.8578 0.3869 0.6287
20 O 0.9731 0.7867 0.8685

Output
density: 3.967 g cm⁻³
formation energy (no corrections): -2.001 eV per atom
magnetic moment: 1.00 μB/f.u.
energy: -6.5972 eV per atom
crystal system: monoclinic



Compound: La2HoPa2Co5
Source: Alexandria via LeMat-Bulk
Functional: GGA-PBE
Structure: optimized geometry

Cell lengths 10.7524, 10.7524, 3.4719 Å; angles 90.00, 90.00, 90.00 degrees
Positions (direct):
1 La 0.1754 0.3246 0.0000
2 La 0.3246 0.8246 0.0000
3 La 0.6754 0.1754 0.0000
4 La 0.8246 0.6754 0.0000
5 Ho 0.0000 0.0000 0.0000
6 Ho 0.5000 0.5000 0.0000
7 Pa 0.1342 0.6342 0.0000
8 Pa 0.3658 0.1342 0.0000
9 Pa 0.6342 0.8658 0.0000
10 Pa 0.8658 0.3658 0.0000
11 Co 0.0000 0.5000 0.5000
12 Co 0.0427 0.7759 0.5000
13 Co 0.2241 0.0427 0.5000
14 Co 0.2759 0.5427 0.5000
15 Co 0.4573 0.2759 0.5000
16 Co 0.5000 0.0000 0.5000
17 Co 0.5427 0.7241 0.5000
18 Co 0.7241 0.4573 0.5000
19 Co 0.7759 0.9573 0.5000
20 Co 0.9573 0.2241 0.5000

Output
density: 9.924 g cm⁻³
magnetic moment: 0.00 μB/f.u.
energy of formation: -0.10 eV per atom
energy: -6.9960 eV per atom
crystal system: tetragonal



Compound: IClO
Source: Alexandria via LeMat-Bulk
Functional: GGA-PBE
Structure: optimized geometry

Cell lengths 9.6660, 9.6660, 9.6660 Å; angles 115.05, 115.05, 115.05 degrees
Positions (direct):
1 I 0.2483 0.7270 0.5851
2 I 0.2730 0.4149 0.7517
3 I 0.4149 0.7517 0.2730
4 I 0.5851 0.2483 0.7270
5 I 0.7270 0.5851 0.2483
6 I 0.7517 0.2730 0.4149
7 Cl 0.0843 0.1340 0.3717
8 Cl 0.1340 0.3717 0.0843
9 Cl 0.3717 0.0843 0.1340
10 Cl 0.6283 0.9157 0.8660
11 Cl 0.8660 0.6283 0.9157
12 Cl 0.9157 0.8660 0.6283
13 O 0.1339 0.5074 0.6872
14 O 0.3128 0.8660 0.4926
15 O 0.4926 0.3128 0.8660
16 O 0.5074 0.6872 0.1339
17 O 0.6872 0.1339 0.5074
18 O 0.8661 0.4926 0.3128

Output
density: 3.531 g cm⁻³
formation energy (no corrections): -0.143 eV per atom
magnetic moment: 0.00 μB/f.u.
energy: -2.9281 eV per atom
crystal system: trigonal



Compound: LiZnCdSn
Source: Alexandria via LeMat-Bulk
Functional: GGA-PBE
Structure: optimized geometry

Cell lengths 4.8366, 4.8366, 4.8366 Å; angles 60.00, 60.00, 60.00 degrees
Positions (direct):
1 Li 0.0000 0.0000 0.0000
2 Zn 0.5000 0.5000 0.5000
3 Cd 0.7500 0.7500 0.7500
4 Sn 0.2500 0.2500 0.2500

Output
density: 6.299 g cm⁻³
magnetic moment: 0.00 μB/f.u.
energy of formation: -0.08 eV per atom
energy: -2.1064 eV per atom
crystal system: cubic



Compound: Sr2AlMoAs
Source: Alexandria via LeMat-Bulk
Functional: GGA-PBE
Structure: optimized geometry

Cell lengths 5.9028, 5.9028, 4.8807 Å; angles 90.00, 90.00, 90.00 degrees
Positions (direct):
1 Sr 0.0000 0.5000 0.0000
2 Sr 0.5000 0.0000 0.0000
3 Al 0.0000 0.0000 0.5000
4 Mo 0.5000 0.5000 0.5000
5 As 0.0000 0.0000 0.0000

Output
density: 3.643 g cm⁻³
magnetic moment: 4.36 μB/f.u.
energy of formation: 0.57 eV per atom
energy: -3.9455 eV per atom
crystal system: tetragonal



Compound: Sm3YTl4
Source: Alexandria via LeMat-Bulk
Functional: GGA-PBE
Structure: optimized geometry

Cell lengths 3.8410, 3.8410, 15.4358 Å; angles 90.00, 90.00, 90.00 degrees
Positions (direct):
1 Sm 0.0000 0.0000 0.0000
2 Sm 0.0000 0.0000 0.2529
3 Sm 0.0000 0.0000 0.7471
4 Y 0.0000 0.0000 0.5000
5 Tl 0.5000 0.5000 0.1265
6 Tl 0.5000 0.5000 0.3798
7 Tl 0.5000 0.5000 0.6202
8 Tl 0.5000 0.5000 0.8735

Output
density: 9.899 g cm⁻³
magnetic moment: 0.00 μB/f.u.
energy of formation: -0.38 eV per atom
energy: -4.1443 eV per atom
crystal system: tetragonal



Compound: Cs2ErPdO4
Source: Alexandria via LeMat-Bulk
Functional: GGA-PBE
Structure: optimized geometry

Cell lengths 13.7307, 12.2178, 7.5144 Å; angles 84.62, 62.36, 33.02 degrees
Positions (direct):
1 Cs 0.0632 0.0632 0.6868
2 Cs 0.3132 0.3132 0.9368
3 Cs 0.6868 0.6868 0.0632
4 Cs 0.9368 0.9368 0.3132
5 Er 0.1250 0.1250 0.1250
6 Er 0.8750 0.8750 0.8750
7 Pd 0.3750 0.3750 0.3750
8 Pd 0.6250 0.6250 0.6250
9 O 0.0133 0.6924 0.5358
10 O 0.2584 0.5358 0.6924
11 O 0.3076 0.9867 0.7416
12 O 0.4642 0.7416 0.9867
13 O 0.5358 0.2584 0.0133
14 O 0.6924 0.0133 0.2584
15 O 0.7416 0.4642 0.3076
16 O 0.9867 0.3076 0.4642

Output
density: 4.164 g cm⁻³
formation energy (no corrections): -1.436 eV per atom
magnetic moment: 1.06 μB/f.u.
energy: -5.3481 eV per atom
crystal system: orthorhombic



Compound: ScHg2Ru
Source: Alexandria via LeMat-Bulk
Functional: GGA-PBE
Structure: optimized geometry

Cell lengths 5.2082, 5.2082, 5.2082 Å; angles 133.73, 131.55, 69.24 degrees
Positions (direct):
1 Sc 0.0000 0.0000 0.0000
2 Hg 0.2568 0.7568 0.5000
3 Hg 0.5114 0.5114 0.0000
4 Ru 0.7651 0.2651 0.5000

Output
density: 12.120 g cm⁻³
magnetic moment: 0.00 μB/f.u.
energy of formation: -0.06 eV per atom
energy: -4.1134 eV per atom
crystal system: orthorhombic



Compound: Sm4Cu3Bi8
Source: Alexandria via LeMat-Bulk
Functional: GGA-PBE
Structure: optimized geometry

Cell lengths 4.5792, 4.5792, 19.3681 Å; angles 90.00, 90.00, 90.00 degrees
Positions (direct):
1 Sm 0.0000 0.5000 0.1137
2 Sm 0.0000 0.5000 0.6196
3 Sm 0.5000 0.0000 0.3804
4 Sm 0.5000 0.0000 0.8863
5 Cu 0.0000 0.0000 0.0000
6 Cu 0.0000 0.0000 0.5000
7 Cu 0.5000 0.5000 0.5000
8 Bi 0.0000 0.0000 0.2470
9 Bi 0.0000 0.0000 0.7530
10 Bi 0.0000 0.5000 0.4176
11 Bi 0.0000 0.5000 0.9265
12 Bi 0.5000 0.0000 0.0735
13 Bi 0.5000 0.0000 0.5824
14 Bi 0.5000 0.5000 0.2476
15 Bi 0.5000 0.5000 0.7524

Output
density: 10.074 g cm⁻³
magnetic moment: 0.00 μB/f.u.
energy of formation: -0.49 eV per atom
energy: -4.6413 eV per atom
crystal system: tetragonal



Compound: Th8Te4C3S
Source: Alexandria via LeMat-Bulk
Functional: GGA-PBE
Structure: optimized geometry

Cell lengths 8.7344, 8.7344, 8.7344 Å; angles 54.36, 54.36, 54.36 degrees
Positions (direct):
1 Th 0.2143 0.7384 0.7384
2 Th 0.2284 0.2284 0.2284
3 Th 0.2616 0.2616 0.7857
4 Th 0.2616 0.7857 0.2616
5 Th 0.7384 0.2143 0.7384
6 Th 0.7384 0.7384 0.2143
7 Th 0.7716 0.7716 0.7716
8 Th 0.7857 0.2616 0.2616
9 Te 0.0000 0.0000 0.0000
10 Te 0.0000 0.5000 0.5000
11 Te 0.5000 0.0000 0.5000
12 Te 0.5000 0.5000 0.0000
13 C 0.0000 0.0000 0.5000
14 C 0.0000 0.5000 0.0000
15 C 0.5000 0.0000 0.0000
16 S 0.5000 0.5000 0.5000

Output
density: 9.882 g cm⁻³
formation energy (no corrections): -0.966 eV per atom
magnetic moment: 0.00 μB/f.u.
energy: -7.4492 eV per atom
crystal system: trigonal



Compound: CaLa2Sm
Source: Alexandria via LeMat-Bulk
Functional: GGA-PBE
Structure: optimized geometry

Cell lengths 5.3519, 5.3519, 5.1485 Å; angles 90.00, 90.00, 90.00 degrees
Positions (direct):
1 Ca 0.0000 0.0000 0.0000
2 La 0.0000 0.5000 0.5000
3 La 0.5000 0.0000 0.5000
4 Sm 0.5000 0.5000 0.0000

Output
density: 5.273 g cm⁻³
magnetic moment: 0.00 μB/f.u.
energy of formation: 0.08 eV per atom
energy: -4.0641 eV per atom
crystal system: tetragonal



Compound: PmNbBi2
Source: Alexandria via LeMat-Bulk
Functional: GGA-PBE
Structure: optimized geometry

Cell lengths 5.1933, 5.1933, 3.8576 Å; angles 90.00, 90.00, 90.00 degrees
Positions (direct):
1 Pm 0.0000 0.0000 0.0000
2 Nb 0.5000 0.5000 0.0000
3 Bi 0.0000 0.5000 0.5000
4 Bi 0.5000 0.0000 0.5000

Output
density: 10.468 g cm⁻³
magnetic moment: 0.00 μB/f.u.
energy of formation: -0.02 eV per atom
energy: -5.6690 eV per atom
crystal system: tetragonal